No. 1
{
  "formula": "SmEuTm",
  "functional": "PBE",
  "state": "optimized geometry",
  "sg": "P3m1, No. 156",
  "m_tot_mub_per_cell": 7.326,
  "dft_energy_ev_per_atom": -6.43,
  "e_form_ev_per_atom": 0.0566,
  "cell": [[-3.4747, -0.4153, -1.0143], [1.8197, -2.8003, 1.4568], [-2.6800, 2.5019, 8.1568]],
  "species": ["Eu", "Sm", "Tm"],
  "frac_coords": [[0.0000, 0.0000, 0.9955], [0.6667, 0.3333, 0.3471], [0.3333, 0.6667, 0.6574]]
}

No. 2
{
  "formula": "Sm2EuY",
  "functional": "PBE",
  "state": "optimized geometry",
  "sg": "P4/mmm, No. 123",
  "m_tot_mub_per_cell": 7.867,
  "dft_energy_ev_per_atom": -6.41,
  "e_form_ev_per_atom": 0.1333,
  "relative_energy_ev_per_atom": 0.000,
  "cell": [[-3.0889, -1.6085, 1.6475], [0.3019, -4.5678, -3.8936], [3.5789, -2.9926, 3.7884]],
  "species": ["Sm", "Sm", "Y", "Eu"],
  "frac_coords": [[0.0000, 0.0000, 0.5000], [0.0000, 0.5000, 0.0000], [0.5000, 0.5000, 0.5000], [0.5000, 0.0000, 0.0000]]
}

No. 3
{
  "formula": "SmEuY",
  "functional": "PBE",
  "state": "optimized geometry",
  "sg": "P3m1, No. 156",
  "m_tot_mub_per_cell": 7.320,
  "dft_energy_ev_per_atom": -7.11,
  "e_form_ev_per_atom": 0.0455,
  "relative_energy_ev_per_atom": 0.000,
  "cell": [[-0.6465, 3.0037, -2.0209], [-1.0027, -3.3093, -1.2518], [-8.0439, 0.9370, 3.9660]],
  "species": ["Sm", "Eu", "Y"],
  "frac_coords": [[0.6667, 0.3333, 0.3449], [0.0000, 0.0000, 0.9982], [0.3333, 0.6667, 0.6569]]
}

No. 4
{
  "formula": "SmEuY",
  "functional": "PBE",
  "state": "optimized geometry",
  "sg": "I4mm, No. 107",
  "m_tot_mub_per_cell": 7.181,
  "dft_energy_ev_per_atom": -7.10,
  "e_form_ev_per_atom": 0.0477,
  "relative_energy_ev_per_atom": 0.002,
  "cell": [[-3.0029, -1.1181, -1.8246], [1.7962, -3.0260, -1.1018], [-1.8564, -1.7048, 7.8259]],
  "species": ["Y", "Sm", "Eu"],
  "frac_coords": [[0.3259, 0.3259, 0.6518], [0.6742, 0.6742, 0.3484], [0.9999, 0.9999, 0.9998]]
}

No. 5
{
  "formula": "Sm2EuY",
  "functional": "PBE",
  "state": "optimized geometry",
  "sg": "Fm-3m, No. 225",
  "m_tot_mub_per_cell": 8.041,
  "dft_energy_ev_per_atom": -6.40,
  "e_form_ev_per_atom": 0.1450,
  "relative_energy_ev_per_atom": 0.012,
  "cell": [[5.8220, 0.0000, 0.0000], [2.9110, 5.0420, 0.0000], [2.9110, 1.6807, 4.7537]],
  "species": ["Eu", "Sm", "Sm", "Y"],
  "frac_coords": [[0.0000, 0.0000, 0.0000], [0.7500, 0.7500, 0.7500], [0.2500, 0.2500, 0.2500], [0.5000, 0.5000, 0.5000]]
}

No. 6
{
  "formula": "Sm4EuY",
  "functional": "PBE",
  "state": "optimized geometry",
  "sg": "F-43m, No. 216",
  "m_tot_mub_per_cell": 7.264,
  "dft_energy_ev_per_atom": -5.71,
  "e_form_ev_per_atom": 0.2214,
  "cell": [[6.7608, 0.0000, 0.0000], [3.3804, 5.8550, 0.0000], [3.3804, 1.9517, 5.5201]],
  "species": ["Sm", "Sm", "Sm", "Sm", "Eu", "Y"],
  "frac_coords": [[0.1186, 0.6271, 0.6271], [0.6271, 0.6271, 0.1186], [0.6271, 0.6271, 0.6271], [0.6271, 0.1186, 0.6271], [0.2500, 0.2500, 0.2500], [0.0000, 0.0000, 0.0000]]
}

No. 7
{
  "formula": "SmEu2Zn",
  "functional": "PBE",
  "state": "optimized geometry",
  "sg": "R-3m, No. 166",
  "m_tot_mub_per_cell": 15.204,
  "dft_energy_ev_per_atom": -6.62,
  "e_form_ev_per_atom": 0.0187,
  "relative_energy_ev_per_atom": 0.089,
  "cell": [[3.7394, 0.0000, 0.0000], [1.8697, 3.2385, 0.0000], [1.8697, 1.0795, 10.9953]],
  "species": ["Zn", "Eu", "Eu", "Sm"],
  "frac_coords": [[0.0000, 0.0000, 0.0000], [0.7383, 0.7383, 0.7851], [0.2617, 0.2617, 0.2149], [0.5000, 0.5000, 0.5000]]
}

No. 8
{
  "formula": "Sm2EuZn",
  "functional": "PBE",
  "state": "optimized geometry",
  "sg": "Fm-3m, No. 225",
  "m_tot_mub_per_cell": 7.220,
  "dft_energy_ev_per_atom": -5.19,
  "e_form_ev_per_atom": 0.0581,
  "relative_energy_ev_per_atom": 0.176,
  "cell": [[5.4687, 0.0000, 0.0000], [2.7343, 4.7360, 0.0000], [2.7343, 1.5787, 4.4652]],
  "species": ["Eu", "Zn", "Sm", "Sm"],
  "frac_coords": [[0.0000, 0.0000, 0.0000], [0.5000, 0.5000, 0.5000], [0.2500, 0.2500, 0.2500], [0.7500, 0.7500, 0.7500]]
}

No. 9
{
  "formula": "SmEu2Zn",
  "functional": "PBE",
  "state": "optimized geometry",
  "sg": "P4/mmm, No. 123",
  "m_tot_mub_per_cell": 15.175,
  "dft_energy_ev_per_atom": -6.59,
  "e_form_ev_per_atom": 0.0430,
  "relative_energy_ev_per_atom": 0.113,
  "cell": [[-2.7482, -4.2436, -0.3755], [2.8550, -1.5220, -3.6950], [2.9802, -2.2145, 3.2148]],
  "species": ["Eu", "Eu", "Sm", "Zn"],
  "frac_coords": [[0.0000, 0.5000, 0.0000], [0.0000, 0.0000, 0.5000], [0.5000, 0.5000, 0.5000], [0.5000, 0.0000, 0.0000]]
}

No. 10
{
  "formula": "SmEu2Zn",
  "functional": "PBE",
  "state": "optimized geometry",
  "sg": "P4/mmm, No. 123",
  "m_tot_mub_per_cell": 14.764,
  "dft_energy_ev_per_atom": -6.71,
  "e_form_ev_per_atom": -0.0703,
  "relative_energy_ev_per_atom": 0.000,
  "cell": [[3.7182, 0.0000, 0.0000], [0.0000, 3.7182, 0.0000], [0.0000, 0.0000, 9.2224]],
  "species": ["Zn", "Eu", "Eu", "Sm"],
  "frac_coords": [[0.5000, 0.5000, 0.0000], [0.0000, 0.0000, 0.7978], [0.0000, 0.0000, 0.2022], [0.5000, 0.5000, 0.5000]]
}

No. 11
{
  "formula": "Sm2EuZn",
  "functional": "PBE",
  "state": "optimized geometry",
  "sg": "P4/mmm, No. 123",
  "m_tot_mub_per_cell": 7.226,
  "dft_energy_ev_per_atom": -5.22,
  "e_form_ev_per_atom": 0.0225,
  "relative_energy_ev_per_atom": 0.141,
  "cell": [[4.7617, 0.0000, 0.0000], [0.0000, 4.9340, 0.0000], [0.0000, 0.0000, 4.9340]],
  "species": ["Eu", "Zn", "Sm", "Sm"],
  "frac_coords": [[0.5000, 0.5000, 0.5000], [0.5000, 0.0000, 0.0000], [0.0000, 0.5000, 0.0000], [0.0000, 0.0000, 0.5000]]
}

No. 12
{
  "formula": "Sm2EuZn",
  "functional": "PBE",
  "state": "optimized geometry",
  "sg": "P4/mmm, No. 123",
  "m_tot_mub_per_cell": 7.744,
  "dft_energy_ev_per_atom": -5.36,
  "e_form_ev_per_atom": -0.1180,
  "relative_energy_ev_per_atom": 0.000,
  "cell": [[3.6941, 0.0000, 0.0000], [0.0000, 3.6941, 0.0000], [0.0000, 0.0000, 8.9871]],
  "species": ["Eu", "Sm", "Sm", "Zn"],
  "frac_coords": [[0.5000, 0.5000, 0.0000], [0.0000, 0.0000, 0.6932], [0.0000, 0.0000, 0.3068], [0.5000, 0.5000, 0.5000]]
}

No. 13
{
  "formula": "SmEuZr",
  "functional": "PBE",
  "state": "optimized geometry",
  "sg": "I4mm, No. 107",
  "m_tot_mub_per_cell": 7.304,
  "dft_energy_ev_per_atom": -7.67,
  "e_form_ev_per_atom": 0.1737,
  "cell": [[-2.1181, -2.7283, -0.1003], [2.1022, -1.7108, 2.1433], [-3.9085, 5.0362, 5.0681]],
  "species": ["Sm", "Eu", "Zr"],
  "frac_coords": [[0.3168, 0.3168, 0.6336], [0.0095, 0.0095, 0.0190], [0.6737, 0.6737, 0.3474]]
}

No. 14
{
  "formula": "EuSn2",
  "functional": "PBE",
  "state": "optimized geometry",
  "sg": "I4/mmm, No. 139",
  "m_tot_mub_per_cell": 7.221,
  "dft_energy_ev_per_atom": -6.53,
  "e_form_ev_per_atom": -0.4327,
  "cell": [[-1.4471, 1.4451, 3.3515], [-3.6428, -0.3485, -1.4226], [2.2171, -5.8172, 1.1658]],
  "species": ["Eu", "Sn", "Sn"],
  "frac_coords": [[0.0000, 0.0000, 0.0000], [0.6899, 0.6900, 0.3799], [0.3100, 0.3100, 0.6201]]
}

No. 15
{
  "formula": "Eu3Sn",
  "functional": "PBE",
  "state": "optimized geometry",
  "sg": "I4/mmm, No. 139",
  "m_tot_mub_per_cell": 22.737,
  "dft_energy_ev_per_atom": -9.10,
  "e_form_ev_per_atom": -0.3968,
  "cell": [[-0.4658, 4.0508, -2.9777], [-3.1694, 2.0848, 3.3319], [5.7533, -0.8728, 2.1933]],
  "species": ["Sn", "Eu", "Eu", "Eu"],
  "frac_coords": [[0.0000, 0.0000, 0.0000], [0.2500, 0.7500, 0.5000], [0.7500, 0.2500, 0.5000], [0.5000, 0.5000, 0.0000]]
}

No. 16
{
  "formula": "EuSn",
  "functional": "PBE",
  "state": "optimized geometry",
  "sg": "Cmcm, No. 63",
  "m_tot_mub_per_cell": 14.310,
  "dft_energy_ev_per_atom": -7.84,
  "e_form_ev_per_atom": -0.6976,
  "cell": [[-3.6100, 2.1289, -1.5169], [-1.4684, -4.0946, -2.2521], [-2.2518, 0.4487, 5.9887]],
  "species": ["Eu", "Eu", "Sn", "Sn"],
  "frac_coords": [[0.7500, 0.1357, 0.2708], [0.2500, 0.8643, 0.7292], [0.7500, 0.4174, 0.8357], [0.2500, 0.5826, 0.1643]]
}